Below is crystalline AlV3C at its relaxed geometry, with properties calculated at the PBE-GGA level.

extended XYZ file:
```
10
Lattice="5.321 0.000 0.000 2.661 5.076 -0.002 2.661 0.869 5.001" Properties=species:S:1:pos:R:3 pbc="T T T"
V 3.991 0.434 2.501
V 7.982 3.683 3.537
V 1.330 0.434 2.501
V 5.321 1.144 0.522
V 2.661 2.262 1.462
V 5.321 4.801 4.477
C 2.661 1.658 3.530
C 7.982 4.286 1.469
Al 5.321 2.972 2.500
Al 2.661 0.000 0.000
```

Output
The calculation puts the energy relative to the elements at 30.9 kJ/mol of formula units. The density of states at the Fermi level comes out at 0.565 states/eV per atom. The calculation puts the theoretical density at 4.715 Mg/m³. The calculated total energy is -8.000 eV per atom.

=====

Below is crystalline Al5V5C at its relaxed geometry, with properties calculated at the PBE-GGA level.

extended XYZ file:
```
11
Lattice="4.167 0.000 0.000 -2.083 4.556 0.012 0.000 -1.451 8.058" Properties=species:S:1:pos:R:3 pbc="T T T"
V 2.083 2.602 0.688
V 0.000 0.596 1.842
V 0.000 0.503 7.383
V 2.083 0.000 0.000
V 2.083 2.509 6.229
Al 2.083 -0.085 5.866
Al 0.000 -0.726 4.029
Al 2.083 1.258 3.191
Al 0.000 3.190 2.204
Al 0.000 1.847 4.880
C 0.000 0.000 0.000
```

Output
The calculation puts the energy relative to the elements at -182.4 kJ/mol of formula units. The density of states at the Fermi level comes out at 0.868 states/eV per atom. The calculation puts the theoretical density at 4.357 Mg/m³. The calculated total energy is -6.856 eV per atom.

=====

Below is crystalline Al2V3C at its relaxed geometry, with properties calculated at the PBE-GGA level.

extended XYZ file:
```
12
Lattice="-3.148 -3.671 0.941 4.774 -0.659 3.852 -2.712 5.238 1.809" Properties=species:S:1:pos:R:3 pbc="T T T"
C 0.969 0.801 3.264
C -2.055 0.108 3.338
V 1.734 2.493 3.904
V -0.826 1.434 4.105
V 2.387 -0.329 1.926
V -2.819 -1.585 2.698
V -2.930 0.784 1.375
V -0.260 -0.526 2.496
Al 3.526 -1.214 3.961
Al -4.612 2.122 2.641
Al 0.874 -2.199 4.137
Al -1.960 3.107 2.465
```

Output
The calculation puts the energy relative to the elements at -37.4 kJ/mol of formula units. The density of states at the Fermi level comes out at 0.560 states/eV per atom. The calculation puts the theoretical density at 4.566 Mg/m³. The calculated total energy is -7.409 eV per atom.